(1)
Material: NpPd6Pt
Method: DFT, PBE-GGA
State: optimized geometry

The structure in POSCAR format:
```
NpPd6Pt
1.0
2.657 1.534 6.852
-2.657 1.534 6.852
0.000 -3.068 6.852
Np Pd Pt
1 6 1
Cartesian
0.000 0.000 0.000
0.000 -1.514 4.764
-1.311 0.757 4.764
-1.311 -0.757 15.791
1.311 0.757 4.764
1.311 -0.757 15.792
0.000 1.514 15.792
0.000 0.000 10.278
```

Calculated values
**Polymorph energy (0 for the lowest one)**: 3.99 eV/f.u.
**Crystal system**: trigonal
**Calculated formation energy**: 0.2317 eV/atom


(2)
Material: Ba2ReSb
Method: DFT, PBE-GGA
State: optimized geometry

The structure in POSCAR format:
```
Ba2ReSb
1.0
5.145 0.000 0.000
0.000 5.145 0.000
0.000 0.000 4.795
Ba Re Sb
2 1 1
Cartesian
0.000 2.573 0.000
2.573 0.000 0.000
0.000 0.000 2.397
2.573 2.573 2.397
```

Calculated values
**Formation energy from raw total energies**: 0.569 eV/atom
**Crystal system**: tetragonal


(3)
Material: NbTeSN2
Method: DFT, PBE-GGA
State: optimized geometry

The structure in POSCAR format:
```
NbTeSN2
1.0
4.018 0.000 0.000
0.000 4.018 0.000
0.000 0.000 5.029
Nb Te S N
1 1 1 2
Cartesian
0.000 0.000 0.000
2.009 2.009 2.515
2.009 2.009 0.000
0.000 2.009 2.515
2.009 0.000 2.515
```

Calculated values
**Polymorph energy (0 for the lowest one)**: 4.90 eV/f.u.
**Formation energy from raw total energies**: 1.418 eV/atom
**Crystal system**: tetragonal


(4)
Material: V6ReW3
Method: DFT, PBE-GGA
State: optimized geometry

The structure in POSCAR format:
```
V6ReW3
1.0
7.510 0.000 0.000
0.000 4.306 0.000
-2.510 0.000 8.852
V Re W
12 2 6
Cartesian
-0.638 1.077 3.523
0.602 3.230 1.756
-0.635 1.077 6.195
-0.661 1.077 8.839
0.593 3.230 7.088
1.868 1.077 5.321
3.133 3.230 3.531
4.408 1.077 1.764
5.662 3.230 0.013
5.635 3.230 2.657
4.398 1.077 7.096
5.638 3.230 5.330
-1.874 3.230 7.956
6.874 1.077 0.896
0.592 3.230 4.433
1.872 1.077 2.657
3.141 3.230 0.894
1.860 1.077 7.958
3.128 3.230 6.195
4.409 1.077 4.419
```

Calculated values
**Polymorph energy (0 for the lowest one)**: 0.00 eV/f.u.
**Crystal system**: monoclinic
**Calculated formation energy**: -0.1415 eV/atom


(5)
Material: Tb2HgBi
Method: DFT, PBE-GGA
State: optimized geometry

The structure in POSCAR format:
```
Tb2HgBi
1.0
4.213 0.000 0.000
0.000 24.243 0.000
0.000 0.000 4.655
Tb Hg Bi
8 4 4
Cartesian
0.000 1.511 1.164
0.000 7.797 1.164
0.000 16.446 3.491
0.000 22.733 3.491
2.106 4.324 3.491
2.106 10.611 3.491
2.106 13.632 1.164
2.106 19.919 1.164
0.000 11.060 1.164
0.000 13.184 3.491
2.106 1.062 3.491
2.106 23.181 1.164
0.000 4.615 1.164
0.000 19.628 3.491
2.106 7.507 3.491
2.106 16.737 1.164
```

Calculated values
**Polymorph energy (0 for the lowest one)**: 0.00 eV/f.u.
**Crystal system**: orthorhombic
**Calculated formation energy**: -0.6145 eV/atom


(6)
Material: Li6AgSn5
Method: DFT, PBE-GGA
State: optimized geometry

The structure in POSCAR format:
```
Li6AgSn5
1.0
4.778 -6.494 0.000
4.778 6.494 0.000
-1.929 0.000 3.860
Li Ag Sn
6 1 5
Cartesian
0.933 2.177 2.891
1.878 0.000 0.952
0.933 -2.177 2.891
6.694 2.177 0.969
5.749 0.000 2.908
6.694 -2.177 0.969
4.778 0.000 0.000
-0.964 0.000 1.930
4.778 4.253 0.000
3.813 2.031 1.930
3.813 -2.031 1.930
4.778 -4.253 0.000
```

Calculated values
**Polymorph energy (0 for the lowest one)**: 0.00 eV/f.u.
**Crystal system**: monoclinic
**Calculated formation energy**: -0.3189 eV/atom


(7)
Material: GaRe3Au
Method: DFT, PBE-GGA
State: optimized geometry

The structure in POSCAR format:
```
GaRe3Au
1.0
4.512 0.000 0.000
0.000 4.512 0.000
0.000 0.000 4.512
Ga Re Au
1 3 1
Cartesian
0.000 0.000 0.000
0.000 0.000 2.256
0.000 2.256 0.000
2.256 0.000 0.000
2.256 2.256 2.256
```

Calculated values
**Polymorph energy (0 for the lowest one)**: 0.00 eV/f.u.
**Crystal system**: cubic
**Calculated formation energy**: 1.9917 eV/atom


(8)
Material: Sb2CSe
Method: DFT, PBE-GGA
State: optimized geometry

The structure in POSCAR format:
```
Sb2CSe
1.0
6.696 0.000 0.000
0.000 6.696 0.000
0.000 0.000 8.131
Sb C Se
8 4 4
Cartesian
1.165 1.674 1.016
1.674 4.513 3.049
1.674 5.531 7.115
2.183 1.674 5.082
4.513 5.022 5.082
5.022 1.165 7.115
5.022 2.183 3.049
5.531 5.022 1.016
0.000 0.000 0.000
0.000 3.348 2.033
3.348 0.000 6.098
3.348 3.348 4.066
0.000 0.000 4.066
0.000 3.348 6.098
3.348 0.000 2.033
3.348 3.348 0.000
```

Calculated values
**Polymorph energy (0 for the lowest one)**: 0.00 eV/f.u.
**Formation energy from raw total energies**: 0.774 eV/atom
**Crystal system**: tetragonal


(9)
Material: BaCrIr3
Method: DFT, PBE-GGA
State: optimized geometry

The structure in POSCAR format:
```
BaCrIr3
1.0
4.685 0.000 0.000
0.000 4.685 0.000
0.000 0.000 4.685
Ba Cr Ir
1 1 3
Cartesian
0.000 0.000 0.000
2.343 2.343 2.343
0.000 2.343 2.343
2.343 0.000 2.343
2.343 2.343 0.000
```

Calculated values
**Polymorph energy (0 for the lowest one)**: 0.00 eV/f.u.
**Crystal system**: cubic
**Calculated formation energy**: 0.6194 eV/atom


(10)
Material: UH2F6
Method: DFT, PBE-GGA
State: optimized geometry

The structure in POSCAR format:
```
UH2F6
1.0
5.443 -3.780 0.000
5.443 3.780 0.000
-2.208 0.000 5.319
U H F
2 4 12
Cartesian
3.787 2.482 3.989
4.891 -2.482 1.330
4.073 0.451 0.030
2.969 -0.451 2.690
5.709 0.451 2.629
4.605 -0.451 5.289
-0.113 0.282 3.358
0.991 -0.282 0.698
2.029 1.479 5.279
2.850 0.833 2.818
5.545 1.479 2.700
3.954 -0.833 0.159
4.724 0.833 5.161
3.133 -1.479 2.620
5.828 -0.833 2.501
6.649 -1.479 0.040
7.687 0.282 4.621
8.791 -0.282 1.961
```

Calculated values
**Crystal system**: monoclinic


(11)
Material: SrEr4ScSe8
Method: DFT, PBE-GGA
State: optimized geometry

The structure in POSCAR format:
```
SrEr4ScSe8
1.0
4.233 2.444 6.778
-4.233 2.444 6.778
0.000 -4.888 6.778
Sr Er Sc Se
1 4 1 8
Cartesian
0.000 0.000 0.000
-2.155 -1.244 9.219
0.000 0.000 4.960
2.155 -1.244 9.219
0.000 2.489 9.219
0.000 0.000 12.661
0.000 0.000 7.684
0.000 -2.266 10.908
-1.962 1.133 10.908
-1.837 -1.060 14.346
1.962 1.133 10.908
1.837 -1.060 14.346
0.000 2.121 14.346
0.000 0.000 17.452
```

Calculated values
**Formation energy from raw total energies**: -1.746 eV/atom
**Crystal system**: trigonal


(12)
Material: Ce3Er5Sb8
Method: DFT, PBE-GGA
State: optimized geometry

The structure in POSCAR format:
```
Ce3Er5Sb8
1.0
4.410 2.546 7.192
-4.410 2.546 7.192
0.000 -5.092 7.192
Ce Er Sb
3 5 8
Cartesian
-2.205 -1.273 7.192
-2.205 1.273 14.384
0.000 2.546 7.192
0.000 0.000 0.000
-4.410 0.000 10.788
-2.205 1.273 3.596
2.205 1.273 3.596
0.000 0.000 10.788
-2.229 -1.287 12.547
0.000 0.000 5.330
0.000 -2.573 9.029
-2.229 1.287 9.029
2.229 -1.287 12.547
0.000 2.573 12.547
0.000 0.000 16.246
2.229 1.287 9.029
```

Calculated values
**Formation energy from raw total energies**: -1.074 eV/atom
**Crystal system**: trigonal


no.,raw total energy (eV per formula unit)
1,-48.3
2,-18.1
3,-26.9
4,-107.4
5,-15.9
6,-38.2
7,-33.7
8,-17.9
9,-35.0
10,-53.2
11,-78.6
12,-90.8